Computed, not measured: a crystal of SiAgSb2 relaxed with PBEsol at the SCAN level of DFT.

Output
Formation energy from raw total energies ... 0.20 eV per atom
Raw total energy ... -1.0574 hartree per atom

```
data_SiAgSb2
_cell_length_a 6.223
_cell_length_b 6.223
_cell_length_c 11.603
_cell_angle_alpha 90.00
_cell_angle_beta 90.00
_cell_angle_gamma 90.00
_space_group_name_H-M_alt 'I -4 2 d'
_space_group_IT_number 122
_space_group_name_Hall 'I -4 2bw'
loop_
_atom_site_label
_atom_site_type_symbol
_atom_site_fract_x
_atom_site_fract_y
_atom_site_fract_z
_atom_site_occupancy
Si1 Si 0.000 0.000 0.000 1
Ag1 Ag 0.000 0.000 0.500 1
Sb1 Sb 0.240 0.250 0.125 1
```

***

Computed, not measured: a crystal of CaNiGe relaxed with PBEsol at the SCAN level of DFT.

Output
Raw total energy ... -0.5717 hartree per atom
Energy of formation from the pure elements ... -0.583 eV/atom

```
data_CaNiGe
_cell_length_a 4.123
_cell_length_b 4.123
_cell_length_c 6.570
_cell_angle_alpha 90.00
_cell_angle_beta 90.00
_cell_angle_gamma 90.00
_space_group_name_H-M_alt 'P 4/n m m'
_space_group_IT_number 129
loop_
_space_group_symop_operation_xyz
'x,y,z'
'-x,-y,-z'
'-y+1/2,x,z'
'y+1/2,-x,-z'
'-x+1/2,-y+1/2,z'
'x+1/2,y+1/2,-z'
'y,-x+1/2,z'
'-y,x+1/2,-z'
'x+1/2,-y,-z'
'-x+1/2,y,z'
'-y,-x,-z'
'y,x,z'
'-x,y+1/2,-z'
'x,-y+1/2,z'
'y+1/2,x+1/2,-z'
'-y+1/2,-x+1/2,z'
loop_
_atom_site_label
_atom_site_type_symbol
_atom_site_fract_x
_atom_site_fract_y
_atom_site_fract_z
_atom_site_occupancy
Ca1 Ca 0.250 0.250 0.177 1
Ni1 Ni 0.250 0.750 0.500 1
Ge1 Ge 0.250 0.250 0.685 1
```

***

Computed, not measured: a crystal of Co2SiNi relaxed with PBEsol at the SCAN level of DFT.

Output
Formation energy from raw total energies ... -0.27 eV per atom
Raw total energy ... -0.5686 hartree per atom

```
data_Co2SiNi
_cell_length_a 3.503
_cell_length_b 3.503
_cell_length_c 6.730
_cell_angle_alpha 90.00
_cell_angle_beta 90.00
_cell_angle_gamma 90.00
_space_group_name_H-M_alt 'I -4 m 2'
_space_group_IT_number 119
_space_group_name_Hall 'I -4 -2'
loop_
_atom_site_label
_atom_site_type_symbol
_atom_site_fract_x
_atom_site_fract_y
_atom_site_fract_z
_atom_site_occupancy
Co1 Co 0.000 0.000 0.000 1
Co2 Co 0.000 0.500 0.250 1
Si1 Si 0.000 0.500 0.750 1
Ni1 Ni 0.000 0.000 0.500 1
```

***

Computed, not measured: a crystal of YAlW relaxed with PBEsol at the SCAN level of DFT.

Output
Raw total energy ... -1.2564 hartree per atom
Energy of formation from the pure elements ... 0.907 eV/atom

```
data_YAlW
_cell_length_a 6.451
_cell_length_b 6.451
_cell_length_c 6.451
_cell_angle_alpha 90.00
_cell_angle_beta 90.00
_cell_angle_gamma 90.00
_space_group_name_H-M_alt 'F -4 3 m'
_space_group_IT_number 216
_space_group_name_Hall 'F -4 2 3'
loop_
_atom_site_label
_atom_site_type_symbol
_atom_site_fract_x
_atom_site_fract_y
_atom_site_fract_z
_atom_site_occupancy
Y1 Y 0.000 0.000 0.000 1
Al1 Al 0.000 0.000 0.500 1
W1 W 0.250 0.250 0.750 1
```

***

Computed, not measured: a crystal of TiP2H2O8 relaxed with PBEsol at the SCAN level of DFT.

Output
Raw total energy ... -0.3512 hartree per atom

```
data_TiP2H2O8
_cell_length_a 5.186
_cell_length_b 6.349
_cell_length_c 18.609
_cell_angle_alpha 90.00
_cell_angle_beta 90.12
_cell_angle_gamma 90.00
_space_group_name_H-M_alt 'P 1 21/c 1'
_space_group_IT_number 14
loop_
_space_group_symop_operation_xyz
'x,y,z'
'-x,-y,-z'
'-x,y+1/2,-z+1/2'
'x,-y+1/2,z+1/2'
loop_
_atom_site_label
_atom_site_type_symbol
_atom_site_fract_x
_atom_site_fract_y
_atom_site_fract_z
_atom_site_occupancy
Ti1 Ti 0.239 0.245 0.169 1
P1 P 0.243 0.663 0.939 1
P2 P 0.268 0.749 0.215 1
H1 H 0.171 0.689 0.056 1
H2 H 0.390 0.158 0.448 1
O1 O 0.020 0.247 0.581 1
O2 O 0.058 0.750 0.273 1
O3 O 0.225 0.085 0.434 1
O4 O 0.240 0.556 0.666 1
O5 O 0.241 0.556 0.165 1
O6 O 0.308 0.721 0.021 1
O7 O 0.466 0.250 0.249 1
O8 O 0.469 0.749 0.398 1
```

***

Computed, not measured: a crystal of SrAsF3 relaxed with PBEsol at the SCAN level of DFT.

Output
Formation energy from raw total energies ... -1.86 eV per atom
Raw total energy ... -0.4586 hartree per atom

```
data_SrAsF3
_cell_length_a 4.489
_cell_length_b 4.489
_cell_length_c 4.489
_cell_angle_alpha 90.00
_cell_angle_beta 90.00
_cell_angle_gamma 90.00
_space_group_name_H-M_alt 'P m -3 m'
_space_group_IT_number 221
_space_group_name_Hall '-P 4 2 3'
loop_
_atom_site_label
_atom_site_type_symbol
_atom_site_fract_x
_atom_site_fract_y
_atom_site_fract_z
_atom_site_occupancy
Sr1 Sr 0.000 0.000 0.000 1
As1 As 0.500 0.500 0.500 1
F1 F 0.000 0.500 0.500 1
```

***

Computed, not measured: a crystal of MnCrRu2 relaxed with PBEsol at the SCAN level of DFT.

Output
Raw total energy ... -0.9749 hartree per atom
Energy of formation from the pure elements ... 0.044 eV/atom

```
data_MnCrRu2
_cell_length_a 3.696
_cell_length_b 3.696
_cell_length_c 7.176
_cell_angle_alpha 90.00
_cell_angle_beta 90.00
_cell_angle_gamma 90.00
_space_group_name_H-M_alt 'I 4/m m m'
_space_group_IT_number 139
_space_group_name_Hall '-I 4 2'
loop_
_atom_site_label
_atom_site_type_symbol
_atom_site_fract_x
_atom_site_fract_y
_atom_site_fract_z
_atom_site_occupancy
Mn1 Mn 0.000 0.000 0.000 1
Cr1 Cr 0.000 0.000 0.500 1
Ru1 Ru 0.000 0.500 0.250 1
```

***

Computed, not measured: a crystal of Zr2Al5Si relaxed with PBEsol at the SCAN level of DFT.

Output
Formation energy from raw total energies ... -0.42 eV per atom
Raw total energy ... -0.5215 hartree per atom

```
data_Zr2Al5Si
_cell_length_a 5.789
_cell_length_b 11.560
_cell_length_c 3.974
_cell_angle_alpha 90.00
_cell_angle_beta 90.00
_cell_angle_gamma 90.00
_space_group_name_H-M_alt 'P b a m'
_space_group_IT_number 55
loop_
_space_group_symop_operation_xyz
'x,y,z'
'-x,-y,-z'
'-x,-y,z'
'x,y,-z'
'x+1/2,-y+1/2,-z'
'-x+1/2,y+1/2,z'
'-x+1/2,y+1/2,-z'
'x+1/2,-y+1/2,z'
loop_
_atom_site_label
_atom_site_type_symbol
_atom_site_fract_x
_atom_site_fract_y
_atom_site_fract_z
_atom_site_occupancy
Zr1 Zr 0.226 0.119 0.000 1
Al1 Al 0.000 0.500 0.500 1
Al2 Al 0.020 0.750 0.500 1
Al3 Al 0.230 0.371 0.000 1
Si1 Si 0.000 0.000 0.500 1
```

***

Copy entry 4 word for word.
Computed, not measured: a crystal of YAlW relaxed with PBEsol at the SCAN level of DFT.

Output
Raw total energy ... -1.2564 hartree per atom
Energy of formation from the pure elements ... 0.907 eV/atom

```
data_YAlW
_cell_length_a 6.451
_cell_length_b 6.451
_cell_length_c 6.451
_cell_angle_alpha 90.00
_cell_angle_beta 90.00
_cell_angle_gamma 90.00
_space_group_name_H-M_alt 'F -4 3 m'
_space_group_IT_number 216
_space_group_name_Hall 'F -4 2 3'
loop_
_atom_site_label
_atom_site_type_symbol
_atom_site_fract_x
_atom_site_fract_y
_atom_site_fract_z
_atom_site_occupancy
Y1 Y 0.000 0.000 0.000 1
Al1 Al 0.000 0.000 0.500 1
W1 W 0.250 0.250 0.750 1
```

***

Question: Among the records above, which one has the lowest raw total energy?
Answer: YAlW

***

Question: Among the records above, which one has the lowest raw total energy?
Answer: YAlW

***

Question: Which value of raw total energy does entry 1 give?
Answer: -1.0574 hartree per atom